The following is a PBE-GGA calculation of a relaxed TeRu2SeF crystal, from Alexandria via LeMat-Bulk.

Its density of states at the Fermi level is 1.369 states/eV/atom. For the uncorrected formation energy, the calculation gives 4.08 eV per formula unit. The uncorrected energy comes out at -4.593 eV/atom.

Unit cell a=4.1996 b=4.1996 c=5.1949 alpha=90.00 beta=90.00 gamma=90.00
Space group P4/mmm (No. 123)
Symmetry-distinct sites (fractional):
1 Te 0.0000 0.0000 0.0000 [1 per cell]
2 Ru 0.0000 0.5000 0.5000 [2 per cell]
3 Se 0.5000 0.5000 0.0000 [1 per cell]
4 F 0.5000 0.5000 0.5000 [1 per cell]